A plane-wave DFT calculation with GGA-PBE was carried out for Rb3Y2PaTe6 after structural relaxation.

```
data_Rb3Y2PaTe6
_cell_length_a 7.827
_cell_length_b 13.553
_cell_length_c 8.995
_cell_angle_alpha 90.00
_cell_angle_beta 106.88
_cell_angle_gamma 90.00
_symmetry_space_group_name_H-M 'C 1 2/m 1'
_symmetry_Int_Tables_number 12
loop_
_symmetry_equiv_pos_as_xyz
'x,y,z'
'-x,-y,-z'
'-x,y,-z'
'x,-y,z'
'x+1/2,y+1/2,z'
'-x+1/2,-y+1/2,-z'
'-x+1/2,y+1/2,-z'
'x+1/2,-y+1/2,z'
loop_
_atom_site_label
_atom_site_type_symbol
_atom_site_fract_x
_atom_site_fract_y
_atom_site_fract_z
Rb1 Rb 0.000 0.000 0.000
Rb2 Rb 0.000 0.333 0.000
Y1 Y 0.000 0.167 0.500
Pa1 Pa 0.000 0.500 0.500
Te1 Te 0.233 0.000 0.702
Te2 Te 0.234 0.333 0.702
```

Computed properties:
**Electronic total energy**: -4.899 eV/atom

---

A plane-wave DFT calculation with GGA-PBE was carried out for La2Al4Ag3Hg after structural relaxation.

```
data_La2Al4Ag3Hg
_cell_length_a 4.501
_cell_length_b 4.501
_cell_length_c 10.825
_cell_angle_alpha 90.00
_cell_angle_beta 90.00
_cell_angle_gamma 90.00
_symmetry_space_group_name_H-M 'P -4 m 2'
_symmetry_Int_Tables_number 115
loop_
_symmetry_equiv_pos_as_xyz
'x,y,z'
'y,-x,-z'
'-x,-y,z'
'-y,x,-z'
'-x,y,z'
'-y,-x,-z'
'x,-y,z'
'y,x,-z'
loop_
_atom_site_label
_atom_site_type_symbol
_atom_site_fract_x
_atom_site_fract_y
_atom_site_fract_z
La1 La 0.000 0.500 0.248
Al1 Al 0.000 0.000 0.000
Al2 Al 0.000 0.500 0.639
Al3 Al 0.500 0.500 0.000
Ag1 Ag 0.000 0.500 0.874
Ag2 Ag 0.500 0.500 0.500
Hg1 Hg 0.000 0.000 0.500
```

Computed properties:
**E_form**: -0.372 eV per atom
**Electronic total energy**: -3.741 eV/atom

---

A plane-wave DFT calculation with GGA-PBE was carried out for Ac4SmSn4 after structural relaxation.

```
data_Ac4SmSn4
_cell_length_a 9.943
_cell_length_b 9.943
_cell_length_c 6.857
_cell_angle_alpha 90.00
_cell_angle_beta 90.00
_cell_angle_gamma 90.00
_symmetry_space_group_name_H-M 'P 42/n'
_symmetry_Int_Tables_number 86
loop_
_symmetry_equiv_pos_as_xyz
'x,y,z'
'-x,-y,-z'
'-y,x+1/2,z+1/2'
'y,-x+1/2,-z+1/2'
'-x+1/2,-y+1/2,z'
'x+1/2,y+1/2,-z'
'y+1/2,-x,z+1/2'
'-y+1/2,x,-z+1/2'
loop_
_atom_site_label
_atom_site_type_symbol
_atom_site_fract_x
_atom_site_fract_y
_atom_site_fract_z
Ac1 Ac 0.037 0.674 0.112
Sm1 Sm 0.250 0.250 0.250
Sn1 Sn 0.012 0.641 0.601
```

Computed properties:
**E_form**: -0.498 eV per atom
**Electronic total energy**: -4.628 eV/atom

---

A plane-wave DFT calculation with GGA-PBE was carried out for Sr4Ca3Zn after structural relaxation.

```
data_Sr4Ca3Zn
_cell_length_a 4.016
_cell_length_b 4.016
_cell_length_c 21.512
_cell_angle_alpha 90.00
_cell_angle_beta 90.00
_cell_angle_gamma 90.00
_symmetry_space_group_name_H-M 'P 4/m m m'
_symmetry_Int_Tables_number 123
_symmetry_space_group_name_Hall '-P 4 2'
loop_
_atom_site_label
_atom_site_type_symbol
_atom_site_fract_x
_atom_site_fract_y
_atom_site_fract_z
Sr1 Sr 0.000 0.000 0.087
Sr2 Sr 0.000 0.000 0.363
Ca1 Ca 0.500 0.500 0.225
Ca2 Ca 0.500 0.500 0.500
Zn1 Zn 0.500 0.500 0.000
```

Computed properties:
**E_form**: -0.035 eV per atom
**Electronic total energy**: -1.786 eV/atom

---

A plane-wave DFT calculation with GGA-PBE was carried out for InCo2Hg after structural relaxation.

```
data_InCo2Hg
_cell_length_a 4.472
_cell_length_b 3.056
_cell_length_c 5.107
_cell_angle_alpha 90.00
_cell_angle_beta 110.86
_cell_angle_gamma 90.00
_symmetry_space_group_name_H-M 'P 1 2/m 1'
_symmetry_Int_Tables_number 10
loop_
_symmetry_equiv_pos_as_xyz
'x,y,z'
'-x,-y,-z'
'-x,y,-z'
'x,-y,z'
loop_
_atom_site_label
_atom_site_type_symbol
_atom_site_fract_x
_atom_site_fract_y
_atom_site_fract_z
In1 In 0.000 0.000 0.000
Co1 Co 0.500 0.000 0.500
Co2 Co 0.500 0.500 0.000
Hg1 Hg 0.000 0.500 0.500
```

Computed properties:
**E_form**: 0.458 eV per atom
**Relative energy among the computed polymorphs**: 198 meV per atom
**Electronic total energy**: -3.855 eV/atom

---

A plane-wave DFT calculation with GGA-PBE was carried out for Tm2AlCu4Ge3 after structural relaxation.

```
data_Tm2AlCu4Ge3
_cell_length_a 3.951
_cell_length_b 3.951
_cell_length_c 10.681
_cell_angle_alpha 90.00
_cell_angle_beta 90.00
_cell_angle_gamma 90.00
_symmetry_space_group_name_H-M 'P -4 m 2'
_symmetry_Int_Tables_number 115
loop_
_symmetry_equiv_pos_as_xyz
'x,y,z'
'y,-x,-z'
'-x,-y,z'
'-y,x,-z'
'-x,y,z'
'-y,-x,-z'
'x,-y,z'
'y,x,-z'
loop_
_atom_site_label
_atom_site_type_symbol
_atom_site_fract_x
_atom_site_fract_y
_atom_site_fract_z
Tm1 Tm 0.000 0.500 0.239
Al1 Al 0.000 0.000 0.500
Cu1 Cu 0.000 0.000 0.000
Cu2 Cu 0.000 0.500 0.642
Cu3 Cu 0.500 0.500 0.000
Ge1 Ge 0.000 0.500 0.863
Ge2 Ge 0.500 0.500 0.500
```

Computed properties:
**E_form**: -0.474 eV per atom
**Electronic total energy**: -4.767 eV/atom

---

A plane-wave DFT calculation with GGA-PBE was carried out for NdRh after structural relaxation.

```
data_NdRh
_cell_length_a 3.941
_cell_length_b 4.266
_cell_length_c 5.837
_cell_angle_alpha 90.00
_cell_angle_beta 109.73
_cell_angle_gamma 90.00
_symmetry_space_group_name_H-M 'P 1 21/m 1'
_symmetry_Int_Tables_number 11
loop_
_symmetry_equiv_pos_as_xyz
'x,y,z'
'-x,-y,-z'
'-x,y+1/2,-z'
'x,-y+1/2,z'
loop_
_atom_site_label
_atom_site_type_symbol
_atom_site_fract_x
_atom_site_fract_y
_atom_site_fract_z
Nd1 Nd 0.141 0.250 0.283
Rh1 Rh 0.415 0.250 0.830
```

Computed properties:
**E_form**: -0.683 eV per atom
**Electronic total energy**: -6.743 eV/atom

---

A plane-wave DFT calculation with GGA-PBE was carried out for KCoNi2 after structural relaxation.

```
data_KCoNi2
_cell_length_a 2.582
_cell_length_b 5.027
_cell_length_c 9.956
_cell_angle_alpha 90.00
_cell_angle_beta 90.00
_cell_angle_gamma 90.00
_symmetry_space_group_name_H-M 'I m m 2'
_symmetry_Int_Tables_number 44
loop_
_symmetry_equiv_pos_as_xyz
'x,y,z'
'-x,-y,z'
'-x,y,z'
'x,-y,z'
'x+1/2,y+1/2,z+1/2'
'-x+1/2,-y+1/2,z+1/2'
'-x+1/2,y+1/2,z+1/2'
'x+1/2,-y+1/2,z+1/2'
loop_
_atom_site_label
_atom_site_type_symbol
_atom_site_fract_x
_atom_site_fract_y
_atom_site_fract_z
K1 K 0.000 0.000 0.000
Co1 Co 0.000 0.500 0.795
Ni1 Ni 0.000 0.000 0.498
Ni2 Ni 0.000 0.500 0.208
```

Computed properties:
**E_form**: 0.816 eV per atom
**Relative energy among the computed polymorphs**: 288 meV per atom
**Electronic total energy**: -4.125 eV/atom

---

Number 1: magnetization 1.8 μB per formula unit, D(E_F) 8.3 states/eV/f.u.. Number 2: magnetization 0.0 μB per formula unit, D(E_F) 5.7 states/eV/f.u.. Number 3: magnetization 0.0 μB per formula unit, D(E_F) 8.0 states/eV/f.u.. Number 4: magnetization 0.0 μB per formula unit, D(E_F) 9.6 states/eV/f.u.. Number 5: magnetization 2.3 μB per formula unit, D(E_F) 5.1 states/eV/f.u.. Number 6: magnetization 0.0 μB per formula unit, D(E_F) 3.1 states/eV/f.u.. Number 7: magnetization 0.0 μB per formula unit, D(E_F) 0.9 states/eV/f.u.. Number 8: magnetization 2.9 μB per formula unit, D(E_F) 5.9 states/eV/f.u..